(1)
A plane-wave DFT calculation with PBE was carried out for an optimized crystal structure of TlFeRe2.

* crystal system: orthorhombic

Lattice parameters (Å, degrees): 5.347 8.241 2.912 90.00 90.00 90.00
Space group Cmmm (No. 65)
Inequivalent atoms, fractional coordinates:
Tl 0.000 0.000 0.000 x2
Fe 0.000 0.500 0.000 x2
Re 0.250 0.250 0.500 x4

***

(2)
A plane-wave DFT calculation with PBE was carried out for an optimized crystal structure of TlFeRe2.

* crystal system: monoclinic

Lattice parameters (Å, degrees): 2.909 3.868 5.859 90.00 90.14 90.00
Space group Pm (No. 6)
Inequivalent atoms, fractional coordinates:
Tl 0.000 0.000 0.000 x1
Fe 0.494 0.500 0.269 x1
Re 0.029 0.000 0.492 x1
Re 0.482 0.500 0.685 x1

***

(3)
A plane-wave DFT calculation with PBE was carried out for an optimized crystal structure of TlFeRe2.

* crystal system: cubic

Lattice parameters (Å, degrees): 6.351 6.351 6.351 90.00 90.00 90.00
Space group F-43m (No. 216)
Inequivalent atoms, fractional coordinates:
Tl 0.000 0.000 0.000 x4
Fe 0.250 0.250 0.250 x4
Re 0.000 0.000 0.500 x4
Re 0.250 0.250 0.750 x4

***

(4)
A plane-wave DFT calculation with PBE was carried out for an optimized crystal structure of Tl2FeRe.

* crystal system: monoclinic

Lattice parameters (Å, degrees): 4.877 3.100 5.289 90.00 111.42 90.00
Space group P2/m (No. 10)
Inequivalent atoms, fractional coordinates:
Tl 0.000 0.000 0.000 x1
Tl 0.000 0.500 0.500 x1
Fe 0.500 0.000 0.500 x1
Re 0.500 0.500 0.000 x1

***

(5)
A plane-wave DFT calculation with PBE was carried out for an optimized crystal structure of TlFeRe2.

* crystal system: tetragonal

Lattice parameters (Å, degrees): 2.972 2.972 7.522 90.00 90.00 90.00
Space group P4mm (No. 99)
Inequivalent atoms, fractional coordinates:
Tl 0.000 0.000 0.000 x1
Fe 0.500 0.500 0.272 x1
Re 0.000 0.000 0.492 x1
Re 0.500 0.500 0.697 x1

***

(6)
A plane-wave DFT calculation with PBE was carried out for an optimized crystal structure of TlFe2Re.

* crystal system: tetragonal

Lattice parameters (Å, degrees): 3.888 3.888 7.975 90.00 90.00 90.00
Space group I-4m2 (No. 119)
Inequivalent atoms, fractional coordinates:
Tl 0.000 0.000 0.000 x2
Fe 0.000 0.000 0.500 x2
Fe 0.000 0.500 0.750 x2
Re 0.000 0.500 0.250 x2

***

(7)
A plane-wave DFT calculation with PBE was carried out for an optimized crystal structure of TlFe2Re.

* crystal system: orthorhombic

Lattice parameters (Å, degrees): 3.136 4.607 8.812 90.00 90.00 90.00
Space group Cmm2 (No. 35)
Inequivalent atoms, fractional coordinates:
Tl 0.000 0.000 0.000 x2
Fe 0.000 0.000 0.484 x2
Fe 0.000 0.500 0.274 x2
Re 0.000 0.500 0.708 x2

***

(8)
A plane-wave DFT calculation with PBE was carried out for an optimized crystal structure of Tl2FeRe.

* crystal system: tetragonal

Lattice parameters (Å, degrees): 4.175 4.175 8.584 90.00 90.00 90.00
Space group I4/mmm (No. 139)
Inequivalent atoms, fractional coordinates:
Tl 0.000 0.500 0.250 x4
Fe 0.000 0.000 0.000 x2
Re 0.000 0.000 0.500 x2

***

(9)
A plane-wave DFT calculation with PBE was carried out for an optimized crystal structure of TlFe2Re.

* crystal system: tetragonal

Lattice parameters (Å, degrees): 2.839 2.839 7.256 90.00 90.00 90.00
Space group P4/mmm (No. 123)
Inequivalent atoms, fractional coordinates:
Tl 0.000 0.000 0.000 x1
Fe 0.500 0.500 0.283 x2
Re 0.000 0.000 0.500 x1

***

(10)
A plane-wave DFT calculation with PBE was carried out for an optimized crystal structure of TlFeRe2.

* crystal system: orthorhombic

Lattice parameters (Å, degrees): 2.839 3.785 6.132 90.00 90.00 90.00
Space group Pmmm (No. 47)
Inequivalent atoms, fractional coordinates:
Tl 0.000 0.000 0.000 x1
Fe 0.000 0.000 0.500 x1
Re 0.500 0.500 0.306 x2

***

(11)
A plane-wave DFT calculation with PBE was carried out for an optimized crystal structure of TlFeRe2.

* crystal system: orthorhombic

Lattice parameters (Å, degrees): 3.247 4.514 8.659 90.00 90.00 90.00
Space group Imm2 (No. 44)
Inequivalent atoms, fractional coordinates:
Tl 0.000 0.000 0.000 x2
Fe 0.000 0.500 0.750 x2
Re 0.000 0.000 0.484 x2
Re 0.000 0.500 0.228 x2

***

(12)
A plane-wave DFT calculation with PBE was carried out for an optimized crystal structure of TlFe2Re.

* crystal system: trigonal

Lattice parameters (Å, degrees): 2.9069 2.9069 25.5839 90.00 90.00 120.00
Space group R-3m (No. 166, hexagonal axes)
Inequivalent atoms, fractional coordinates:
Tl 0.0000 0.0000 0.0000 x3
Fe 0.0000 0.0000 0.2421 x6
Re 0.0000 0.0000 0.5000 x3

***

(13)
A plane-wave DFT calculation with PBE was carried out for an optimized crystal structure of Tl2FeRe.

* crystal system: orthorhombic

Lattice parameters (Å, degrees): 3.121 5.173 9.343 90.00 90.00 90.00
Space group Cmmm (No. 65)
Inequivalent atoms, fractional coordinates:
Tl 0.000 0.000 0.242 x4
Fe 0.000 0.500 0.000 x2
Re 0.000 0.500 0.500 x2

***

(14)
A plane-wave DFT calculation with PBE was carried out for an optimized crystal structure of TlFe2Re.

* crystal system: monoclinic

Lattice parameters (Å, degrees): 2.843 3.520 6.165 90.00 90.14 90.00
Space group Pm (No. 6)
Inequivalent atoms, fractional coordinates:
Tl 0.000 0.000 0.000 x1
Fe 0.000 0.000 0.520 x1
Fe 0.501 0.500 0.716 x1
Re 0.498 0.500 0.329 x1

***

(15)
A plane-wave DFT calculation with PBE was carried out for an optimized crystal structure of TlFe2Re.

* crystal system: orthorhombic

Lattice parameters (Å, degrees): 3.186 4.515 8.715 90.00 90.00 90.00
Space group Immm (No. 71)
Inequivalent atoms, fractional coordinates:
Tl 0.000 0.000 0.000 x2
Fe 0.000 0.500 0.236 x4
Re 0.000 0.000 0.500 x2

***

Energy for the records above, in order: -7.98, -8.36, -8.12, -5.42, -8.41, -7.21, -7.29, -5.35, -7.44, -8.23, -8.14, -7.32, -5.41, -7.37, -7.19 eV/atom
Energy of formation from the pure elements for the records above, in order: 0.95, 0.58, 0.81, 0.99, 0.52, 0.72, 0.65, 1.06, 0.50, 0.70, 0.80, 0.61, 1.00, 0.56, 0.75 eV per atom
DOS at the Fermi energy for the records above, in order: 1.158, 0.838, 0.808, 0.972, 1.150, 1.020, 0.825, 0.858, 1.220, 0.811, 0.924, 1.338, 0.889, 0.968, 1.149 states/eV per atom